[1]
The following is a DFT calculation (GGA-PBE) of Li2Si2Ir after structural relaxation.

abc: 8.5294 4.8215 7.5830
angles: 90.00 123.90 90.00
Last column: nearest neighbours and their distance in Å.
Space group C2/c (No. 15)
Asymmetric unit:
Li 0.0989 0.1259 0.4482  3 Li 2.50-2.54, 5 Si 2.52-2.72, 2 Ir 2.71-2.72
Si 0.1985 0.3747 0.1470  3 Ir 2.50-2.53, 5 Li 2.52-2.72, 2 Si 2.74
Ir 0.0000 0.3737 0.7500  6 Si 2.50-2.53, 4 Li 2.71-2.72

Properties
Total magnetic moment, Bohr magnetons per cell: 0.000
Raw formation energy, kJ/mol of formula units: -217
Energy above the most stable polymorph in this dataset, eV per atom: 0.000

[2]
The following is a DFT calculation (GGA-PBE) of TbPrTh after structural relaxation.

abc: 6.9405 7.2218 9.3845
angles: 112.59 97.62 104.99
Last column: nearest neighbours and their distance in Å.
Space group P-1 (No. 2)
Asymmetric unit:
Tb 0.0480 0.4107 0.2989  4 Th 3.59-3.62, 3 Tb 3.61-3.77, 5 Pr 3.61-3.78
Tb 0.3964 0.9219 0.6486  3 Th 3.54-3.57, 6 Pr 3.60-3.77, 3 Tb 3.61-3.77
Pr 0.0511 0.9111 0.2978  4 Th 3.58-3.61, 5 Tb 3.61-3.77, 3 Pr 3.65-3.79
Pr 0.4000 0.4245 0.6493  3 Th 3.53-3.59, 6 Tb 3.60-3.78, 3 Pr 3.65-3.79
Th 0.2806 0.5857 0.0298  4 Pr 3.53-3.61, 3 Tb 3.55-3.61, 5 Th 3.59-3.66
Th 0.2815 0.0841 0.0282  4 Tb 3.54-3.62, 3 Pr 3.54-3.60, 5 Th 3.58-3.68

Properties
ΔE_f, meV per atom: 53.2
Total magnetic moment, Bohr magnetons per cell: 0.000
Energy above the most stable polymorph in this dataset, eV per atom: 0.030

[3]
The following is a DFT calculation (GGA-PBE) of K2ScI2 after structural relaxation.

abc: 7.2788 7.2788 10.0570
angles: 90.00 90.00 90.00
Last column: nearest neighbours and their distance in Å.
Space group I4/mmm (No. 139)
Asymmetric unit:
K 0.0000 0.5000 0.2500  4 I 3.65
Sc 0.0000 0.0000 0.0000  2 I 2.83
I 0.0000 0.0000 0.2810  1 Sc 2.83

Properties
Total magnetic moment, Bohr magnetons per cell: 2.000
Raw formation energy, kJ/mol of formula units: -261
Energy above the most stable polymorph in this dataset, eV per atom: 0.029

[4]
The following is a DFT calculation (GGA-PBE) of Ba2NaSi after structural relaxation.

abc: 4.0901 4.0901 9.7644
angles: 90.00 90.00 90.00
Last column: nearest neighbours and their distance in Å.
Space group P4/mmm (No. 123)
Asymmetric unit:
Ba 0.0000 0.0000 0.1859  4 Si 3.41, 1 Ba 3.63
Na 0.5000 0.5000 0.5000  4 Na 4.09, 8 Ba 4.22
Si 0.5000 0.5000 0.0000  8 Ba 3.41

Properties
Total magnetic moment, Bohr magnetons per cell: 0.000
Raw formation energy, kJ/mol of formula units: -58
Energy above the most stable polymorph in this dataset, eV per atom: 0.037

[5]
The following is a DFT calculation (GGA-PBE) of LiTlAg3 after structural relaxation.

abc: 5.3355 5.3355 5.3355
angles: 90.00 90.00 90.00
Last column: nearest neighbours and their distance in Å.
Space group Pm-3m (No. 221)
Asymmetric unit:
Li 0.0000 0.0000 0.0000  12 Ag 3.77
Tl 0.5000 0.5000 0.5000  6 Ag 2.67
Ag 0.0000 0.5000 0.5000  2 Tl 2.67

Properties
ΔE_f, meV per atom: 488.3
Total magnetic moment, Bohr magnetons per cell: 0.000
Energy above the most stable polymorph in this dataset, eV per atom: 0.443

[6]
The following is a DFT calculation (GGA-PBE) of CsLi2MgPb after structural relaxation.

abc: 5.6246 5.6246 5.7602
angles: 90.00 90.00 90.00
Last column: nearest neighbours and their distance in Å.
Space group P4/mmm (No. 123)
Asymmetric unit:
Cs 0.0000 0.0000 0.0000  4 Mg 3.98, 8 Li 4.03
Li 0.0000 0.5000 0.5000  2 Pb 2.81
Mg 0.5000 0.5000 0.0000  2 Pb 2.88
Pb 0.5000 0.5000 0.5000  4 Li 2.81, 2 Mg 2.88

Properties
ΔE_f, meV per atom: -29.4
Total magnetic moment, Bohr magnetons per cell: 0.000

Which formula does entry 4 have?
Ba2NaSi

Look up the total magnetic moment of the fifth one.
0.000 Bohr magnetons per cell

What did the first record say?
The following is a DFT calculation (GGA-PBE) of Li2Si2Ir after structural relaxation.

abc: 8.5294 4.8215 7.5830
angles: 90.00 123.90 90.00
Last column: nearest neighbours and their distance in Å.
Space group C2/c (No. 15)
Asymmetric unit:
Li 0.0989 0.1259 0.4482  3 Li 2.50-2.54, 5 Si 2.52-2.72, 2 Ir 2.71-2.72
Si 0.1985 0.3747 0.1470  3 Ir 2.50-2.53, 5 Li 2.52-2.72, 2 Si 2.74
Ir 0.0000 0.3737 0.7500  6 Si 2.50-2.53, 4 Li 2.71-2.72

Properties
Total magnetic moment, Bohr magnetons per cell: 0.000
Raw formation energy, kJ/mol of formula units: -217
Energy above the most stable polymorph in this dataset, eV per atom: 0.000

Which value of total magnetic moment does entry 4 give?
0.000 Bohr magnetons per cell